Density functional theory data (PBE+U) for a relaxed CrIrOsF2 crystal.

Cell: 4.0360 4.9676 4.0360 Å, 90.00 90.00 90.00°
Closest atoms and distances in Å follow each position.
Fractional positions:
Cr (0.5000, 0.5000, 0.5000)  4 Ir 2.85
Ir (0.0000, 0.5000, 0.0000)  2 Os 2.48
Os (0.0000, 0.0000, 0.0000)  4 F 2.02
F (0.0000, 0.0000, 0.5000)  2 Os 2.02
F (0.5000, 0.0000, 0.0000)  2 Os 2.02

Results
Space-group type: P4/mmm
D(E_F), states/eV/atom: 0.593
Electronic total energy, eV per atom: -6.208